Below is crystalline LiCd2Se at its relaxed geometry, with properties calculated at the PBE level.

Output
- size of the total moment (μB/atom) = 0.000
- ΔE_f (raw) (kJ per mole of atoms) = -10
- electronic total energy (eV per atom) = -1.91
- symmetry = No. 65

a = 3.169 Å, b = 3.169 Å, c = 8.568 Å
α = 90.00°, β = 90.00°, γ = 91.37°
Fractional positions:
Li: 0.500 0.500 0.250
Se: 0.500 0.500 0.750
Cd: 0.000 0.000 0.010
Cd: 0.000 0.000 0.490